(1)
{
  "formula": "K3TlOs",
  "functional": "GGA-PBE",
  "state": "relaxed",
  "cell": [[6.213, 0.000, 0.000], [0.000, 6.213, 0.000], [0.000, 0.000, 6.213]],
  "species": ["K", "K", "K", "Tl", "Os"],
  "fractional_positions": [[0.000, 0.000, 0.500], [0.000, 0.500, 0.000], [0.500, 0.000, 0.000], [0.500, 0.500, 0.500], [0.000, 0.000, 0.000]],
  "polymorph_energy_ev_per_atom": 0.000,
  "mass_density_g_cm3": 3.5,
  "e_tot_ev_per_atom": -2.20,
  "magmom_total_mub_per_fu": 2.902,
  "formation_enthalpy_0k_ev_per_atom": 1.18,
  "sg": "Pm-3m, No. 221"
}

=====

(2)
{
  "formula": "CaAlZn4",
  "functional": "GGA-PBE",
  "state": "relaxed",
  "cell": [[2.155, -7.954, 0.000], [2.155, 7.954, 0.000], [0.000, 0.000, 6.955]],
  "species": ["Ca", "Ca", "Al", "Al", "Zn", "Zn", "Zn", "Zn", "Zn", "Zn", "Zn", "Zn"],
  "fractional_positions": [[0.118, 0.882, 0.750], [0.882, 0.118, 0.250], [0.335, 0.665, 0.750], [0.665, 0.335, 0.250], [0.069, 0.931, 0.250], [0.258, 0.742, 0.080], [0.258, 0.742, 0.420], [0.500, 0.500, 0.000], [0.500, 0.500, 0.500], [0.742, 0.258, 0.580], [0.742, 0.258, 0.920], [0.931, 0.069, 0.750]],
  "polymorph_energy_ev_per_atom": 0.055,
  "mass_density_g_cm3": 4.6,
  "e_tot_ev_per_atom": -1.85,
  "magmom_total_mub_per_fu": 0.000,
  "formation_enthalpy_0k_ev_per_atom": -0.05,
  "sg": "Cmcm, No. 63"
}

=====

Copy entry 2 word for word.
{
  "formula": "CaAlZn4",
  "functional": "GGA-PBE",
  "state": "relaxed",
  "cell": [[2.155, -7.954, 0.000], [2.155, 7.954, 0.000], [0.000, 0.000, 6.955]],
  "species": ["Ca", "Ca", "Al", "Al", "Zn", "Zn", "Zn", "Zn", "Zn", "Zn", "Zn", "Zn"],
  "fractional_positions": [[0.118, 0.882, 0.750], [0.882, 0.118, 0.250], [0.335, 0.665, 0.750], [0.665, 0.335, 0.250], [0.069, 0.931, 0.250], [0.258, 0.742, 0.080], [0.258, 0.742, 0.420], [0.500, 0.500, 0.000], [0.500, 0.500, 0.500], [0.742, 0.258, 0.580], [0.742, 0.258, 0.920], [0.931, 0.069, 0.750]],
  "polymorph_energy_ev_per_atom": 0.055,
  "mass_density_g_cm3": 4.6,
  "e_tot_ev_per_atom": -1.85,
  "magmom_total_mub_per_fu": 0.000,
  "formation_enthalpy_0k_ev_per_atom": -0.05,
  "sg": "Cmcm, No. 63"
}